Below is crystalline TaInPb2 at its relaxed geometry, with properties calculated at the PBE-GGA level.

Structure (CIF):
```
data_TaInPb2
_cell_length_a 4.831
_cell_length_b 4.546
_cell_length_c 4.546
_cell_angle_alpha 90.00
_cell_angle_beta 90.00
_cell_angle_gamma 90.00
_space_group_name_H-M_alt 'P 1'
_space_group_IT_number 1
loop_
_space_group_symop_operation_xyz
'x,y,z'
loop_
_atom_site_label
_atom_site_type_symbol
_atom_site_fract_x
_atom_site_fract_y
_atom_site_fract_z
Pb1 Pb 0.000 0.500 0.500
Pb2 Pb 0.000 0.000 0.000
In1 In 0.500 0.000 0.500
Ta1 Ta 0.500 0.500 0.000
```

## Properties
The theoretical density comes out at 11.8 g/cm³. The calculation puts the energy of formation from the pure elements at 688 meV per atom. Its total energy is -19.3 eV for the cell shown. The value obtained for the density of states at the Fermi level is 0.770 states/eV per atom. Its magnetic moment is 0.00 μB per cell.